Entry 1:
First-principles (PBE-GGA) data for an optimized crystal structure of ReW2Cl, as listed in Alexandria.

Unit cell a=4.5013 b=4.5013 c=4.5013 alpha=60.00 beta=60.00 gamma=60.00
Closest atoms and distances in Å follow each position.
Fractional coordinates of all 4 atoms:
Re 0.0000 0.0000 0.0000  4 W 2.76, 4 Cl 2.76
W 0.5000 0.5000 0.5000  4 W 2.76, 4 Cl 2.76
W 0.7500 0.7500 0.7500  4 W 2.76, 4 Re 2.76
Cl 0.2500 0.2500 0.2500  4 W 2.76, 4 Re 2.76

Computed properties:
- Fermi-level density of states: 1.517 states/eV/atom
- ΔE to the lowest computed polymorph: 793.1 meV per atom
- Uncorrected formation energy: 1.1958 eV/atom
- Mass density: 15.2 g cm⁻³



Entry 2:
First-principles (PBE-GGA) data for an optimized crystal structure of KScTa2, as listed in Alexandria.

Unit cell a=2.8858 b=2.8858 c=11.5446 alpha=90.00 beta=90.00 gamma=107.23
Closest atoms and distances in Å follow each position.
Fractional coordinates of all 4 atoms:
K 0.0000 0.0000 0.0000  4 K 2.89
Sc 0.0000 0.0000 0.5000  4 Sc 2.89, 4 Ta 3.00
Ta 0.5000 0.5000 0.2867  4 Ta 2.89, 2 Sc 3.00
Ta 0.5000 0.5000 0.7133  4 Ta 2.89, 2 Sc 3.00

Computed properties:
- Fermi-level density of states: 1.020 states/eV/atom
- ΔE to the lowest computed polymorph: 175.0 meV per atom
- Mass density: 8.1 g cm⁻³
- DFT formation energy: 0.73 eV/atom



- What is the formula in the second record?
  KScTa2



- mass density of number 2 (KScTa2)?
  8.1 g cm⁻³



- The highest Fermi-level density of states belongs to which entry?
  ReW2Cl



- Look up the mass density of the first one.
  15.2 g cm⁻³